Entry from the Alexandria database: a relaxed TbTm3Sc2Se6 crystal (PBE-GGA).

a b c (Å): 6.8864 11.9785 6.9088
angles (deg): 90.00 109.45 90.00
Space group C2/m (No. 12)
Asymmetric unit:
Tb 0.0000 0.0000 0.0000
Tm 0.0000 0.1601 0.5000
Tm 0.0000 0.5000 0.5000
Sc 0.0000 0.3356 0.0000
Se 0.2371 0.5000 0.2427
Se 0.2456 0.3276 0.7524

## Properties
Total DFT energy (no corrections) in eV per atom: -5.954
Total moment in μB per formula unit: 0.00
Uncorrected formation energy in eV per formula unit: -19.8
Fermi-level density of states in states/eV/f.u.: 6.1